# 1
DFT (GGA-PBE) results for Ba2AlTlO5 after structural relaxation.

Its density of states at the Fermi level is 0.0000 states/eV per atom. As for the uncorrected formation energy: -2.158 eV/atom.

It has space group Cmc2_1 (No. 36), with a = 3.4541 Å, b = 15.8106 Å, c = 11.1147 Å, α = 90.00°, β = 90.00° and γ = 90.00°. Symmetry generates all atoms from Ba at (0.0000, 0.1109, 0.0000), Ba at (0.0000, 0.1251, 0.6369), Al at (0.0000, 0.4465, 0.7576), Tl at (0.0000, 0.2126, 0.3458), O at (0.0000, 0.0388, 0.3228), O at (0.0000, 0.2914, 0.9819), O at (0.0000, 0.3343, 0.7177), O at (0.0000, 0.3509, 0.3214) and O at (0.0000, 0.4971, 0.6159).



# 2
DFT (GGA-PBE) results for TbSmHgIr after structural relaxation.

The formation enthalpy at 0 K is -0.573 eV/atom. Its density of states at the Fermi level is 0.6555 states/eV per atom.

It has space group F-43m (No. 216), with a = 7.2146 Å, b = 7.2146 Å, c = 7.2146 Å, α = 90.00°, β = 90.00° and γ = 90.00°. Symmetry generates all atoms from Tb at (0.0000, 0.0000, 0.0000), Sm at (0.0000, 0.0000, 0.5000), Hg at (0.2500, 0.2500, 0.2500) and Ir at (0.2500, 0.2500, 0.7500).



# 3
DFT (GGA-PBE) results for Cd4P after structural relaxation.

The formation enthalpy at 0 K is 0.245 eV/atom. The polymorph energy (0 for the lowest one) comes out at 0.000 eV per atom. Its density of states at the Fermi level is 0.3907 states/eV per atom.

It has space group Im-3m (No. 229), with a = 6.3086 Å, b = 6.3086 Å, c = 6.3086 Å, α = 90.00°, β = 90.00° and γ = 90.00°. Symmetry generates all atoms from Cd at (0.2500, 0.2500, 0.2500) and P at (0.0000, 0.0000, 0.0000).



# 4
DFT (GGA-PBE) results for Ac2AuBr after structural relaxation.

The polymorph energy (0 for the lowest one) comes out at 0.128 eV per atom. Its density of states at the Fermi level is 0.7469 states/eV per atom. As for the uncorrected formation energy: -0.913 eV/atom.

It has space group P4/mmm (No. 123), with a = 3.7814 Å, b = 3.7814 Å, c = 8.8399 Å, α = 90.00°, β = 90.00° and γ = 90.00°. Symmetry generates all atoms from Ac at (0.0000, 0.0000, 0.2229), Au at (0.5000, 0.5000, 0.0000) and Br at (0.5000, 0.5000, 0.5000).